(1)
DFT (PBE-GGA) results for crystalline Al3FeCl at its relaxed geometry.

Cell: 4.6050 4.6050 4.6050 Å, 90.00 90.00 90.00°
Element x y z (fractional)
Fe 0.0000 0.0000 0.0000
Al 0.0000 0.0000 0.5000
Al 0.5000 0.0000 0.0000
Al 0.0000 0.5000 0.0000
Cl 0.5000 0.5000 0.5000

* energy relative to the elements, uncorrected: 35 meV/atom
* distance to the lowest polymorph of the same formula: 0 meV/atom
* total energy: -21.4 eV/cell
* total magnetic moment: 0.00 μB/f.u.
* DOS(E_F): 3.0 states/eV/f.u.
* SG: Pm-3m


(2)
DFT (PBE-GGA) results for crystalline AlFe2Cl at its relaxed geometry.

Cell: 5.3073 5.3073 5.3073 Å, 140.97 140.97 56.38°
Site moments in Bohr magnetons follow the coordinates.
Element x y z (fractional)
Fe 0.0000 0.0000 0.0000  2.43
Fe 0.2500 0.7500 0.5000  2.74
Al 0.5000 0.5000 0.0000  -0.05
Cl 0.7500 0.2500 0.5000  0.12

* energy relative to the elements, uncorrected: 456 meV/atom
* distance to the lowest polymorph of the same formula: 453 meV/atom
* total energy: -20.7 eV/cell
* total magnetic moment: 5.18 μB/f.u.
* DOS(E_F): 3.0 states/eV/f.u.
* SG: I-4m2


(3)
DFT (PBE-GGA) results for crystalline AlFe2Cl at its relaxed geometry.

Cell: 3.1000 3.0956 6.1714 Å, 90.00 90.00 90.00°
Site moments in Bohr magnetons follow the coordinates.
Element x y z (fractional)
Al 0.5000 0.5000 0.2500  -0.09
Fe 0.0000 0.0000 0.0552  2.23
Fe 0.0000 0.0000 0.4448  2.23
Cl 0.5000 0.5000 0.7500  0.05

* energy relative to the elements, uncorrected: 193 meV/atom
* distance to the lowest polymorph of the same formula: 190 meV/atom
* total energy: -21.7 eV/cell
* total magnetic moment: 4.33 μB/f.u.
* DOS(E_F): 3.1 states/eV/f.u.
* SG: P4/mmm


(4)
DFT (PBE-GGA) results for crystalline Al4FeCl at its relaxed geometry.

Cell: 5.3446 5.3446 5.3446 Å, 60.00 60.00 60.00°
Site moments in Bohr magnetons follow the coordinates.
Element x y z (fractional)
Al 0.6259 0.6259 0.1223  0.00
Al 0.6259 0.6259 0.6259  0.00
Al 0.6259 0.1223 0.6259  0.00
Al 0.1223 0.6259 0.6259  0.00
Cl 0.2500 0.2500 0.2500  0.06
Fe 0.0000 0.0000 0.0000  3.02

* energy relative to the elements, uncorrected: 347 meV/atom
* total energy: -23.2 eV/cell
* total magnetic moment: 3.01 μB/f.u.
* DOS(E_F): 4.3 states/eV/f.u.
* SG: F-43m


(5)
DFT (PBE-GGA) results for crystalline AlFe2Cl8 at its relaxed geometry.

Cell: 6.0327 8.5637 8.5637 Å, 50.39 93.27 93.27°
Site moments in Bohr magnetons follow the coordinates.
Element x y z (fractional)
Cl 0.6471 0.7200 0.7200  0.23
Cl 0.7960 0.1296 0.1296  0.10
Cl 0.2324 0.2866 0.8422  0.10
Cl 0.7676 0.1578 0.7134  0.10
Cl 0.2324 0.8422 0.2866  0.10
Cl 0.3529 0.2800 0.2800  0.23
Cl 0.7676 0.7134 0.1578  0.10
Cl 0.2040 0.8704 0.8704  0.10
Al 0.0000 0.0000 0.0000  0.00
Fe 0.5740 0.8538 0.8538  3.60
Fe 0.4260 0.1462 0.1462  3.60

* energy relative to the elements, uncorrected: -992 meV/atom
* distance to the lowest polymorph of the same formula: 0 meV/atom
* total energy: -46.4 eV/cell
* total magnetic moment: 9.00 μB/f.u.
* DOS(E_F): 5.0 states/eV/f.u.
* SG: C2/m


(6)
DFT (PBE-GGA) results for crystalline Al2FeCl at its relaxed geometry.

Cell: 4.6886 4.6886 5.8306 Å, 82.57 82.57 37.62°
Site moments in Bohr magnetons follow the coordinates.
Element x y z (fractional)
Al 0.6911 0.6911 0.8292  -0.03
Al 0.9498 0.9498 0.0872  -0.03
Cl 0.6294 0.6294 0.4657  0.01
Fe 0.2297 0.2297 0.1179  1.22

* energy relative to the elements, uncorrected: -40 meV/atom
* distance to the lowest polymorph of the same formula: 188 meV/atom
* total energy: -18.0 eV/cell
* total magnetic moment: 1.04 μB/f.u.
* DOS(E_F): 2.5 states/eV/f.u.
* SG: Cm


(7)
DFT (PBE-GGA) results for crystalline Al2FeCl at its relaxed geometry.

Cell: 4.4411 4.4411 4.4411 Å, 60.00 60.00 60.00°
Element x y z (fractional)
Al 0.0000 0.0000 0.0000
Al 0.2500 0.2500 0.2500
Fe 0.7500 0.7500 0.7500
Cl 0.5000 0.5000 0.5000

* energy relative to the elements, uncorrected: 587 meV/atom
* distance to the lowest polymorph of the same formula: 815 meV/atom
* total energy: -15.4 eV/cell
* total magnetic moment: 0.00 μB/f.u.
* DOS(E_F): 2.5 states/eV/f.u.
* SG: F-43m


(8)
DFT (PBE-GGA) results for crystalline AlFeCl3 at its relaxed geometry.

Cell: 4.8889 4.8889 4.8889 Å, 90.00 90.00 90.00°
Site moments in Bohr magnetons follow the coordinates.
Element x y z (fractional)
Fe 0.0000 0.0000 0.0000  3.51
Al 0.5000 0.5000 0.5000  0.00
Cl 0.0000 0.0000 0.5000  0.05
Cl 0.0000 0.5000 0.0000  0.10
Cl 0.5000 0.0000 0.0000  0.14

* energy relative to the elements, uncorrected: -430 meV/atom
* distance to the lowest polymorph of the same formula: 0 meV/atom
* total energy: -19.9 eV/cell
* total magnetic moment: 4.00 μB/f.u.
* DOS(E_F): 5.0 states/eV/f.u.
* SG: Pm-3m